Entry 1
Computed, not measured: a relaxed structure of Mg4Pb at the PBE-GGA level of DFT.

a = 5.631 Å, b = 5.631 Å, c = 5.631 Å
α = 99.23°, β = 99.23°, γ = 132.78°
Fractional positions:
1 Mg 0.599 0.804 0.403
2 Mg 0.401 0.196 0.597
3 Mg 0.804 0.401 0.205
4 Mg 0.196 0.599 0.795
5 Pb 0.000 0.000 0.000

symmetry = I4/m, No. 87

=====

Entry 2
Computed, not measured: a relaxed structure of Mg4Pb at the PBE-GGA level of DFT.

a = 5.901 Å, b = 5.901 Å, c = 5.901 Å
α = 109.47°, β = 109.47°, γ = 109.47°
Fractional positions:
1 Pb 0.000 0.000 0.000
2 Mg 0.500 0.000 0.000
3 Mg 0.500 0.500 0.500
4 Mg 0.000 0.500 0.000
5 Mg 0.000 0.000 0.500

symmetry = Im-3m, No. 229

=====

Entry 3
Computed, not measured: a relaxed structure of Mg4Pb at the PBE-GGA level of DFT.

a = 5.212 Å, b = 7.957 Å, c = 6.347 Å
α = 89.47°, β = 90.00°, γ = 90.00°
Fractional positions:
1 Mg 0.748 0.713 0.247
2 Mg 0.754 0.374 0.504
3 Mg 0.746 0.374 0.004
4 Mg 0.248 0.287 0.253
5 Mg 0.752 0.713 0.747
6 Mg 0.252 0.287 0.753
7 Mg 0.246 0.626 0.496
8 Mg 0.254 0.626 0.996
9 Pb 0.500 0.000 0.500
10 Pb 0.000 0.000 0.000

symmetry = P2_1/c, No. 14

=====

Quick one: most stable of them? entry 1